The following is a DFT calculation (PBEsol) of a relaxed Li4Co3Sn5O16 crystal.

```
Li4Co3Sn5O16
1.0
5.9664 -0.0383 -0.0378
2.9487 5.1870 -0.0378
-0.0707 -0.0409 9.6610
Co Sn O Li
3 5 16 4
Direct
0.8313 0.8313 0.7837 Co
0.1714 0.6600 0.2861 Co
0.6600 0.1714 0.2861 Co
0.3398 0.8341 0.7849 Sn
0.6698 0.6698 0.5008 Sn
0.8341 0.3398 0.7849 Sn
0.1682 0.1682 0.2856 Sn
0.3441 0.3441 0.0163 Sn
0.3128 0.8324 0.4039 O
0.5147 0.5147 0.6533 O
0.6768 0.6768 0.8975 O
0.9913 0.9913 0.6863 O
0.9881 0.9881 0.1952 O
0.8324 0.3128 0.4039 O
0.5235 0.9692 0.6572 O
0.9692 0.5235 0.6572 O
0.1621 0.1621 0.9120 O
0.8373 0.8373 0.3885 O
0.0379 0.4978 0.1623 O
0.4978 0.0379 0.1623 O
0.3449 0.3449 0.3869 O
0.1595 0.6773 0.9001 O
0.4864 0.4864 0.1774 O
0.6773 0.1595 0.9001 O
0.6750 0.6750 0.1145 Li
0.9732 0.9732 0.0122 Li
0.9846 0.9846 0.5000 Li
0.3357 0.3357 0.5929 Li
```

Computed properties:
Its crystal system is monoclinic. For the uncorrected formation energy, the calculation gives -1.579 eV per atom.

=====

The following is a DFT calculation (PBEsol) of a relaxed Li2Co3SnO8 crystal.

```
Li2Co3SnO8
1.0
8.1627 0.0062 0.0062
-0.0066 8.1625 0.0021
-0.0066 -0.0025 8.1625
Li Co Sn O
8 12 4 32
Direct
0.1264 0.7484 0.9987 Li
0.8736 0.0013 0.2516 Li
0.3764 0.5013 0.2487 Li
0.1235 0.2483 0.5015 Li
0.6236 0.7513 0.4987 Li
0.8765 0.4985 0.7517 Li
0.3736 0.9985 0.7487 Li
0.6264 0.2513 0.0015 Li
0.9892 0.3748 0.1143 Co
0.7391 0.6140 0.1251 Co
0.5000 0.8640 0.1360 Co
0.7500 0.3641 0.3643 Co
0.5109 0.1140 0.3751 Co
0.2609 0.8749 0.3860 Co
0.7608 0.1249 0.6143 Co
0.0108 0.8857 0.6252 Co
0.2500 0.6357 0.6359 Co
0.0000 0.1356 0.8644 Co
0.2392 0.3857 0.8751 Co
0.4891 0.6249 0.8860 Co
0.2500 0.1249 0.1252 Sn
0.0000 0.6249 0.3751 Sn
0.5000 0.3749 0.6251 Sn
0.7500 0.8748 0.8751 Sn
0.9962 0.1428 0.0977 O
0.2225 0.3787 0.1072 O
0.5114 0.6363 0.1137 O
0.9724 0.6069 0.1212 O
0.7320 0.8473 0.1290 O
0.7614 0.3863 0.1366 O
0.5039 0.0974 0.1431 O
0.2680 0.8710 0.1527 O
0.9820 0.3711 0.3477 O
0.7462 0.5974 0.3572 O
0.4886 0.8863 0.3637 O
0.5180 0.3474 0.3713 O
0.2776 0.1069 0.3790 O
0.7386 0.1363 0.3866 O
0.0276 0.8788 0.3931 O
0.2538 0.6428 0.4026 O
0.7538 0.3569 0.5977 O
0.5275 0.1211 0.6072 O
0.2386 0.8634 0.6137 O
0.7775 0.8928 0.6213 O
0.0180 0.6523 0.6289 O
0.9886 0.1134 0.6366 O
0.2462 0.4023 0.6431 O
0.4820 0.6287 0.6526 O
0.7680 0.1287 0.8477 O
0.0038 0.9023 0.8572 O
0.2614 0.6134 0.8637 O
0.2320 0.1523 0.8713 O
0.4725 0.3928 0.8789 O
0.0114 0.3634 0.8866 O
0.7224 0.6210 0.8931 O
0.4961 0.8569 0.9026 O
```

Computed properties:
Its crystal system is cubic. For the uncorrected formation energy, the calculation gives -1.451 eV per atom.

=====

Q: Look up the uncorrected formation energy of the second one.
A: -1.451 eV per atom

=====

Q: Which value of uncorrected formation energy does entry 1 give?
A: -1.579 eV per atom